[1]
YZnHg (PBEsol, relaxed); magnetization = 0.000 μB per atom; energy of formation = -503 meV per atom; symmetry = P-6m2 (187)
1.0
4.592 0.000 0.000
-2.296 3.976 0.000
0.000 0.000 3.468
Y Zn Hg
1 1 1
Direct
0.333 0.667 0.333 Y
0.667 0.333 0.834 Zn
0.000 0.000 0.833 Hg

[2]
Sr4LaTi5O15 (PBEsol, relaxed); magnetization = 0.000 μB per atom; symmetry = C2/m (12); E = -8.561 eV per atom
1.0
-2.966 -2.190 4.106
1.376 -6.198 -2.312
7.540 2.901 3.286
Sr La Ti O
4 1 5 15
Direct
0.600 0.400 0.201 Sr
0.200 0.800 0.400 Sr
0.800 0.200 0.600 Sr
0.400 0.600 0.799 Sr
0.000 0.000 0.000 La
0.200 0.302 0.401 Ti
0.800 0.698 0.599 Ti
0.399 0.100 0.799 Ti
0.000 0.500 0.000 Ti
0.601 0.900 0.201 Ti
0.392 0.100 0.292 O
0.000 0.500 0.500 O
0.608 0.900 0.708 O
0.198 0.295 0.902 O
0.802 0.705 0.098 O
0.299 0.195 0.598 O
0.901 0.603 0.802 O
0.500 0.000 0.000 O
0.099 0.397 0.198 O
0.701 0.805 0.402 O
0.500 0.500 0.500 O
0.100 0.900 0.708 O
0.704 0.295 0.902 O
0.296 0.705 0.098 O
0.900 0.100 0.292 O

[3]
LiNbCl2 (PBEsol, relaxed); magnetization = 0.001 μB per atom; symmetry = R-3m (166); E = -5.033 eV per atom
1.0
3.173 0.000 0.000
1.587 2.748 0.000
1.587 0.916 7.882
Nb Li Cl
1 1 2
Direct
0.000 0.000 0.000 Nb
0.500 0.500 0.500 Li
0.898 0.898 0.307 Cl
0.102 0.102 0.693 Cl

[4]
Co2Ir (PBEsol, relaxed); offset from the most stable computed form = 68 meV/atom; magnetization = 1.269 μB per atom; energy of formation = 99 meV per atom; symmetry = P6/mmm (191)
1.0
2.556 0.000 0.000
0.000 4.005 0.000
0.000 -2.003 3.469
Ir Co
1 2
Direct
0.500 0.000 0.000 Ir
0.000 0.667 0.333 Co
0.000 0.333 0.667 Co

[5]
SrHF3 (PBEsol, relaxed); magnetization = 0.006 μB per atom; symmetry = P2_1/m (11); E = -5.122 eV per atom
1.0
3.931 0.000 0.000
0.000 4.331 -0.144
0.000 -1.898 7.821
Sr H F
2 2 6
Direct
0.250 0.660 0.319 Sr
0.750 0.340 0.681 Sr
0.000 0.000 0.000 H
0.500 0.000 0.000 H
0.250 0.231 0.463 F
0.750 0.769 0.537 F
0.250 0.039 0.079 F
0.750 0.961 0.921 F
0.250 0.420 0.837 F
0.750 0.580 0.163 F

[6]
CuAgF3 (PBEsol, relaxed); offset from the most stable computed form = 29 meV/atom; magnetization = 0.000 μB per atom; symmetry = Pm-3m (221)
1.0
3.924 0.000 0.000
0.000 3.924 0.000
0.000 0.000 3.924
Cu Ag F
1 1 3
Direct
0.000 0.000 0.000 Cu
0.500 0.500 0.500 Ag
0.500 0.000 0.000 F
0.000 0.500 0.000 F
0.000 0.000 0.500 F